1.
# KBaCo2

A relaxed structure of KBaCo2 (GGA-PBE, Alexandria).

Symmetry: F-43m, No. 216
Uncorrected energy (eV per atom): -3.252
Magnetization (μB per atom): 0.696
Relative energy among the computed polymorphs (eV/f.u.): 2.58
N(E_F) (states/eV/atom): 1.7663
Calculated formation energy (eV/atom): 1.056

a = 5.1878 Å, b = 5.1878 Å, c = 5.1878 Å
α = 60.00°, β = 60.00°, γ = 60.00°
Last column: nearest neighbours and their distance in Å.
Element x y z (fractional)
K: 0.0000 0.0000 0.0000  4 Ba 3.18, 4 Co 3.18
Ba: 0.2500 0.2500 0.2500  4 Co 3.18, 4 K 3.18
Co: 0.5000 0.5000 0.5000  4 Ba 3.18, 4 Co 3.18
Co: 0.7500 0.7500 0.7500  4 K 3.18, 4 Co 3.18

2.
# La2NbHgO

A relaxed structure of La2NbHgO (GGA-PBE, Alexandria).

Symmetry: P4/mmm, No. 123
Uncorrected energy (eV per atom): -6.099
Magnetization (μB per atom): 0.000
N(E_F) (states/eV/atom): 0.6266
Formation energy (no corrections) (meV/atom): -1062

a = 5.2631 Å, b = 5.2631 Å, c = 4.1618 Å
α = 90.00°, β = 90.00°, γ = 90.00°
Last column: nearest neighbours and their distance in Å.
Element x y z (fractional)
La: 0.0000 0.5000 0.0000  2 O 2.63
La: 0.5000 0.0000 0.0000  2 O 2.63
Nb: 0.0000 0.0000 0.5000  2 O 2.08
Hg: 0.5000 0.5000 0.5000  8 La 3.35, 4 Nb 3.72
O: 0.0000 0.0000 0.0000  2 Nb 2.08

3.
# AcSmHo2As4

A relaxed structure of AcSmHo2As4 (GGA-PBE, Alexandria).

Symmetry: P2/m, No. 10
Uncorrected energy (eV per atom): -6.050
Magnetization (μB per atom): 0.000
N(E_F) (states/eV/atom): 0.1092
Calculated formation energy (eV/atom): -1.478

a = 7.3510 Å, b = 4.2480 Å, c = 7.3592 Å
α = 90.00°, β = 109.42°, γ = 90.00°
Last column: nearest neighbours and their distance in Å.
Element x y z (fractional)
Ac: 0.0000 0.0000 0.0000  6 As 3.10-3.11
Sm: 0.0000 0.5000 0.5000  6 As 3.03
Ho: 0.5000 0.0000 0.5000  6 As 2.91
Ho: 0.5000 0.5000 0.0000  6 As 2.98
As: 0.2627 0.0000 0.7467  3 Ho 2.91-2.98, 2 Sm 3.03, 1 Ac 3.10
As: 0.2689 0.5000 0.2642  3 Ho 2.91-2.98, 1 Sm 3.03, 2 Ac 3.11
As: 0.7311 0.5000 0.7358  3 Ho 2.91-2.98, 1 Sm 3.03, 2 Ac 3.11
As: 0.7373 0.0000 0.2533  3 Ho 2.91-2.98, 2 Sm 3.03, 1 Ac 3.10

4.
# LiCeTmTe3

A relaxed structure of LiCeTmTe3 (GGA-PBE, Alexandria).

Symmetry: P2_1/m, No. 11
Uncorrected energy (eV per atom): -4.862
Magnetization (μB per atom): 0.245
N(E_F) (states/eV/atom): 1.4078
Formation energy (no corrections) (meV/atom): -1238

a = 8.9179 Å, b = 4.2899 Å, c = 9.5569 Å
α = 90.00°, β = 104.17°, γ = 90.00°
Last column: nearest neighbours and their distance in Å.
Element x y z (fractional)
Li: 0.0860 0.2500 0.0853  4 Te 2.72-2.79, 2 Li 2.90
Li: 0.9140 0.7500 0.9147  4 Te 2.72-2.79, 2 Li 2.90
Ce: 0.1889 0.2500 0.7327  7 Te 3.23-3.34
Ce: 0.8111 0.7500 0.2673  7 Te 3.23-3.34
Tm: 0.3288 0.7500 0.3407  6 Te 3.03-3.10
Tm: 0.6712 0.2500 0.6593  6 Te 3.03-3.10
Te: 0.0951 0.2500 0.3721  1 Li 2.72
Te: 0.2361 0.7500 0.0060  3 Li 2.73-2.79
Te: 0.4351 0.7500 0.6709  3 Tm 3.03-3.06, 2 Ce 3.23
Te: 0.5649 0.2500 0.3291  3 Tm 3.03-3.06, 2 Ce 3.23
Te: 0.7639 0.2500 0.9940  3 Li 2.73-2.79
Te: 0.9049 0.7500 0.6279  1 Li 2.72

5.
# SrMoPd

A relaxed structure of SrMoPd (GGA-PBE, Alexandria).

Symmetry: Cm, No. 8
Uncorrected energy (eV per atom): -5.670
Magnetization (μB per atom): 0.001
Relative energy among the computed polymorphs (eV/f.u.): 0.50
N(E_F) (states/eV/atom): 0.5123
Calculated formation energy (eV/atom): 0.232

a = 5.4127 Å, b = 5.4127 Å, c = 6.4673 Å
α = 102.18°, β = 102.18°, γ = 55.06°
Last column: nearest neighbours and their distance in Å.
Element x y z (fractional)
Sr: 0.0000 0.0000 0.0000  5 Pd 3.19-3.57, 5 Mo 3.34-3.38
Sr: 0.7227 0.7227 0.3763  4 Pd 2.92-3.23
Mo: 0.2850 0.2850 0.7790  1 Mo 2.15
Mo: 0.4672 0.4672 0.6402  1 Mo 2.15
Pd: 0.0356 0.0356 0.5046  3 Mo 2.62-2.78, 1 Sr 2.92
Pd: 0.3788 0.3788 0.2089  2 Mo 2.71-2.72

6.
# Ho3Ge2O

A relaxed structure of Ho3Ge2O (GGA-PBE, Alexandria).

Symmetry: Cmcm, No. 63
Uncorrected energy (eV per atom): -6.047
Magnetization (μB per atom): 0.000
N(E_F) (states/eV/atom): 0.4967
Formation energy (no corrections) (meV/atom): -1393

a = 6.9059 Å, b = 6.9059 Å, c = 6.3958 Å
α = 90.00°, β = 90.00°, γ = 67.70°
Last column: nearest neighbours and their distance in Å.
Element x y z (fractional)
Ho: 0.0000 0.0000 0.0000  2 O 2.22
Ho: 0.0000 0.0000 0.5000  2 O 2.22
Ho: 0.1852 0.4873 0.7500  1 O 2.20
Ho: 0.4873 0.1852 0.2500  1 O 2.20
Ho: 0.5127 0.8148 0.7500  1 O 2.20
Ho: 0.8148 0.5127 0.2500  1 O 2.20
Ge: 0.1784 0.6012 0.2500  1 Ge 2.53, 1 Ho 2.80
Ge: 0.3988 0.8216 0.2500  1 Ge 2.53, 1 Ho 2.80
Ge: 0.6012 0.1784 0.7500  1 Ge 2.53, 1 Ho 2.80
Ge: 0.8216 0.3988 0.7500  1 Ge 2.53, 1 Ho 2.80
O: 0.1998 0.8002 0.7500  4 Ho 2.20-2.22
O: 0.8002 0.1998 0.2500  4 Ho 2.20-2.22

7.
# GaFeTe2

A relaxed structure of GaFeTe2 (GGA-PBE, Alexandria).

Symmetry: R-3m, No. 166
Uncorrected energy (eV per atom): -4.342
Magnetization (μB per atom): 0.389
N(E_F) (states/eV/atom): 1.0383
Formation energy (no corrections) (meV/atom): 101

a = 9.6047 Å, b = 9.6047 Å, c = 9.6047 Å
α = 21.54°, β = 21.54°, γ = 21.54°
Last column: nearest neighbours and their distance in Å.
Element x y z (fractional)
Ga: 0.0000 0.0000 0.0000  2 Te 3.16
Fe: 0.5000 0.5000 0.5000  6 Te 2.58
Te: 0.1123 0.1123 0.1123  3 Fe 2.58
Te: 0.8877 0.8877 0.8877  3 Fe 2.58

8.
# MnCo2Cu

A relaxed structure of MnCo2Cu (GGA-PBE, Alexandria).

Symmetry: R3m, No. 160
Uncorrected energy (eV per atom): -6.720
Magnetization (μB per atom): 1.290
N(E_F) (states/eV/atom): 1.1661
Calculated formation energy (eV/atom): 0.150

a = 8.5161 Å, b = 8.5161 Å, c = 8.5161 Å
α = 16.90°, β = 16.90°, γ = 16.90°
Last column: nearest neighbours and their distance in Å.
Element x y z (fractional)
Mn: 0.0000 0.0000 0.0000  6 Mn 2.50, 3 Co 2.57, 3 Cu 2.59
Co: 0.2489 0.2489 0.2489  9 Co 2.45-2.50, 3 Mn 2.57
Co: 0.5037 0.5037 0.5037  9 Co 2.45-2.50, 3 Cu 2.58
Cu: 0.7522 0.7522 0.7522  6 Cu 2.50, 3 Co 2.58, 3 Mn 2.59

Which of these has the lowest uncorrected energy? MnCo2Cu